Computed, not measured: TiCuBiC2 after structural relaxation at the PBE level of DFT.

a = 3.904 Å, b = 5.335 Å, c = 3.904 Å
α = 90.00°, β = 90.00°, γ = 90.00°
Atoms (fractional coordinates):
Bi  0.000  0.500  0.000
C  0.000  0.000  0.500
C  0.500  0.000  0.000
Cu  0.000  0.000  0.000
Ti  0.500  0.500  0.500

Energy above the lowest structure with this stoichiometry (eV per formula unit): 0.86
Density of states at the Fermi level (states/eV per cell): 2.616

Computed, not measured: Hf5AlSb2 after structural relaxation at the PBE level of DFT.

a = 4.984 Å, b = 7.125 Å, c = 12.185 Å
α = 90.00°, β = 90.00°, γ = 110.47°
Atoms (fractional coordinates):
Hf  0.896  0.793  0.874
Hf  0.896  0.793  0.626
Hf  0.691  0.382  0.250
Hf  0.312  0.624  0.484
Hf  0.104  0.207  0.126
Hf  0.688  0.376  0.516
Hf  0.309  0.618  0.750
Hf  0.312  0.624  0.016
Hf  0.688  0.376  0.984
Hf  0.104  0.207  0.374
Sb  0.112  0.225  0.883
Sb  0.888  0.775  0.383
Sb  0.112  0.225  0.617
Sb  0.888  0.775  0.117
Al  0.295  0.591  0.250
Al  0.705  0.409  0.750

Density of states at the Fermi level (states/eV per cell): 14.782
Total DFT energy (no corrections) (eV/cell): -122.141

Computed, not measured: CaTb2Hf after structural relaxation at the PBE level of DFT.

a = 3.357 Å, b = 3.357 Å, c = 12.580 Å
α = 82.33°, β = 82.33°, γ = 60.00°
Atoms (fractional coordinates):
Tb  0.918  0.918  0.246
Tb  0.082  0.082  0.754
Hf  0.000  0.000  0.000
Ca  0.500  0.500  0.500

Energy above the lowest structure with this stoichiometry (eV per formula unit): 1.37
Density of states at the Fermi level (states/eV per cell): 6.672

Computed, not measured: Rb2SnI4Cl2 after structural relaxation at the PBE level of DFT.

a = 8.344 Å, b = 8.038 Å, c = 8.038 Å
α = 61.87°, β = 58.37°, γ = 58.37°
Atoms (fractional coordinates):
I  0.289  0.215  0.723
I  0.711  0.277  0.785
I  0.711  0.785  0.277
I  0.289  0.723  0.215
Sn  0.500  0.000  0.000
Rb  0.789  0.249  0.249
Rb  0.211  0.751  0.751
Cl  0.217  0.227  0.227
Cl  0.783  0.773  0.773

Total DFT energy (no corrections) (eV/cell): -25.304